VASP calculation (PBE-GGA) on an optimized crystal structure of MnBiRuAu2.

Cell lengths 5.1265, 5.1265, 4.4506 Å; angles 90.00, 90.00, 90.00 degrees
Last column: nearest neighbours and their distance in Å.
Positions (direct):
Mn 0.0000 0.0000 0.0000  2 Ru 2.23
Bi 0.5000 0.5000 0.0000  8 Au 3.39, 4 Mn 3.62
Ru 0.0000 0.0000 0.5000  2 Mn 2.23
Au 0.0000 0.5000 0.5000  2 Ru 2.56
Au 0.5000 0.0000 0.5000  2 Ru 2.56

## Properties
M_tot, Bohr magnetons per cell: 2.7
Calculated total energy, eV per atom: -4.944
SG: P4/mmm, No. 123
Calculated formation energy, eV/atom: 0.832
Density of states at the Fermi level, states/eV/atom: 0.853